Here is a relaxed structure of Ca2YCo from Alexandria. Energies are from PBE.

Results
Size of the total moment   1.66 μB/cell
Fermi-level density of states   0.8761 states/eV/atom
Excess energy over the best structure of this formula in the dataset   31.2 kJ per mole of atoms
Energy of formation from the pure elements   0.3750 eV per atom

Cell lengths 10.5441, 10.5441, 10.5441 Å; angles 19.77, 19.77, 19.77 degrees
Closest atoms and distances in Å follow each position.
Sites, in units of the cell vectors:
Y (0.7500, 0.7500, 0.7500)  6 Y 3.62, 6 Ca 3.87
Ca (0.9784, 0.9784, 0.9784)  3 Co 2.83
Ca (0.5216, 0.5216, 0.5216)  3 Co 2.83
Co (0.2500, 0.2500, 0.2500)  6 Ca 2.83